Computed, not measured: Ce2SmFeN4 after structural relaxation at the PBE level of DFT.

Cell lengths 3.5149, 11.5189, 11.6258 Å; angles 90.00, 90.00, 90.00 degrees
Space group Cmcm (No. 63)
One atom of each set of equivalent atoms:
Ce 0.0000 0.1316 0.0556 (multiplicity 8)
Sm 0.0000 0.3980 0.2500 (multiplicity 4)
Fe 0.0000 0.3398 0.7500 (multiplicity 4)
N 0.0000 0.0540 0.2500 (multiplicity 4)
N 0.0000 0.2329 0.6231 (multiplicity 8)
N 0.0000 0.5000 0.0000 (multiplicity 4)

Summary:
Its density of states at the Fermi level is 0.3933 states/eV/atom. Its total energy is -8.404 eV per atom. The formation energy (no corrections) comes out at -1.11 eV per atom. The total moment comes out at 3.02 μB/f.u.



Computed, not measured: SrCe2FeN4 after structural relaxation at the PBE level of DFT.

Cell lengths 3.5350, 11.7760, 11.9501 Å; angles 90.00, 90.00, 90.00 degrees
Space group Cmcm (No. 63)
One atom of each set of equivalent atoms:
Sr 0.0000 0.0936 0.2500 (multiplicity 4)
Ce 0.0000 0.3668 0.0508 (multiplicity 8)
Fe 0.0000 0.1765 0.7500 (multiplicity 4)
N 0.0000 0.0000 0.0000 (multiplicity 4)
N 0.0000 0.2548 0.6172 (multiplicity 8)
N 0.0000 0.3999 0.2500 (multiplicity 4)

Summary:
Its density of states at the Fermi level is 0.6467 states/eV/atom. Its total energy is -7.908 eV per atom. The formation energy (no corrections) comes out at -0.99 eV per atom. The total moment comes out at 0.62 μB/f.u.



Computed, not measured: SrCeFeN2 after structural relaxation at the PBE level of DFT.

Cell lengths 5.5881, 5.0291, 6.9181 Å; angles 90.00, 90.20, 90.00 degrees
Space group P2/c (No. 13)
One atom of each set of equivalent atoms:
Sr 0.0000 0.0014 0.2500 (multiplicity 2)
Ce 0.5000 0.4995 0.7500 (multiplicity 2)
Fe 0.5000 0.0000 0.0000 (multiplicity 2)
N 0.2830 0.2755 0.9996 (multiplicity 4)

Summary:
Its density of states at the Fermi level is 0.4544 states/eV/atom. Its total energy is -7.171 eV per atom. The formation energy (no corrections) comes out at -0.63 eV per atom. The total moment comes out at 1.97 μB/f.u.



Computed, not measured: Ce2TaFeN5 after structural relaxation at the PBE level of DFT.

Cell lengths 3.2677, 13.5798, 10.0935 Å; angles 90.00, 90.00, 90.00 degrees
Space group Cmc2_1 (No. 36)
One atom of each set of equivalent atoms:
Ce 0.0000 0.1167 0.0000 (multiplicity 4)
Ce 0.0000 0.1335 0.6351 (multiplicity 4)
Ta 0.0000 0.1976 0.3302 (multiplicity 4)
Fe 0.0000 0.4535 0.7503 (multiplicity 4)
N 0.0000 0.0284 0.3196 (multiplicity 4)
N 0.0000 0.2999 0.9692 (multiplicity 4)
N 0.0000 0.3202 0.6837 (multiplicity 4)
N 0.0000 0.3420 0.3152 (multiplicity 4)
N 0.0000 0.4963 0.0820 (multiplicity 4)

Summary:
Its density of states at the Fermi level is 0.7311 states/eV/atom. Its total energy is -9.234 eV per atom. The formation energy (no corrections) comes out at -1.03 eV per atom. The total moment comes out at 0.00 μB/f.u.



Computed, not measured: TbCe2Fe2N6 after structural relaxation at the PBE level of DFT.

Cell lengths 5.5353, 5.5353, 17.8959 Å; angles 90.00, 90.00, 120.00 degrees
Space group R-3m (No. 166, hexagonal axes)
One atom of each set of equivalent atoms:
Tb 0.0000 0.0000 0.0000 (multiplicity 3)
Ce 0.0000 0.0000 0.2060 (multiplicity 6)
Fe 0.0000 0.0000 0.4065 (multiplicity 6)
N 0.0074 0.5037 0.7656 (multiplicity 18)

Summary:
Its density of states at the Fermi level is 0.6896 states/eV/atom. Its total energy is -8.180 eV per atom. The formation energy (no corrections) comes out at -0.60 eV per atom. The total moment comes out at 5.06 μB/f.u.



Computed, not measured: Ce2FeTcN5 after structural relaxation at the PBE level of DFT.

Cell lengths 3.3345, 13.4403, 9.6172 Å; angles 90.00, 90.00, 90.00 degrees
Space group Cmc2_1 (No. 36)
One atom of each set of equivalent atoms:
Ce 0.0000 0.1232 0.0000 (multiplicity 4)
Ce 0.0000 0.1296 0.6243 (multiplicity 4)
Fe 0.0000 0.4405 0.7608 (multiplicity 4)
Tc 0.0000 0.2015 0.3274 (multiplicity 4)
N 0.0000 0.0346 0.3287 (multiplicity 4)
N 0.0000 0.3021 0.9601 (multiplicity 4)
N 0.0000 0.3136 0.6804 (multiplicity 4)
N 0.0000 0.3472 0.3169 (multiplicity 4)
N 0.0000 0.4977 0.5886 (multiplicity 4)

Summary:
Its density of states at the Fermi level is 0.8020 states/eV/atom. Its total energy is -8.768 eV per atom. The formation energy (no corrections) comes out at -0.73 eV per atom. The total moment comes out at 0.04 μB/f.u.



Computed, not measured: Ce2ThFeN4 after structural relaxation at the PBE level of DFT.

Cell lengths 3.4685, 11.6036, 11.6546 Å; angles 90.00, 90.00, 90.00 degrees
Space group Cmcm (No. 63)
One atom of each set of equivalent atoms:
Ce 0.0000 0.1320 0.0572 (multiplicity 8)
Th 0.0000 0.3915 0.2500 (multiplicity 4)
Fe 0.0000 0.3458 0.7500 (multiplicity 4)
N 0.0000 0.0457 0.2500 (multiplicity 4)
N 0.0000 0.2262 0.6271 (multiplicity 8)
N 0.0000 0.5000 0.0000 (multiplicity 4)

Summary:
Its density of states at the Fermi level is 0.5105 states/eV/atom. Its total energy is -8.835 eV per atom. The formation energy (no corrections) comes out at -1.20 eV per atom. The total moment comes out at 2.00 μB/f.u.



Computed, not measured: CeTh2FeN4 after structural relaxation at the PBE level of DFT.

Cell lengths 3.5548, 11.6980, 11.9599 Å; angles 90.00, 90.00, 90.00 degrees
Space group Cmcm (No. 63)
One atom of each set of equivalent atoms:
Ce 0.0000 0.1009 0.2500 (multiplicity 4)
Th 0.0000 0.3680 0.0586 (multiplicity 8)
Fe 0.0000 0.1625 0.7500 (multiplicity 4)
N 0.0000 0.0000 0.0000 (multiplicity 4)
N 0.0000 0.2717 0.6251 (multiplicity 8)
N 0.0000 0.4521 0.2500 (multiplicity 4)

Summary:
Its density of states at the Fermi level is 0.7376 states/eV/atom. Its total energy is -8.989 eV per atom. The formation energy (no corrections) comes out at -1.17 eV per atom. The total moment comes out at 2.03 μB/f.u.



Computed, not measured: Ce2ThFe2N6 after structural relaxation at the PBE level of DFT.

Cell lengths 5.6321, 5.6321, 18.3370 Å; angles 90.00, 90.00, 120.00 degrees
Space group R-3m (No. 166, hexagonal axes)
One atom of each set of equivalent atoms:
Ce 0.0000 0.0000 0.2013 (multiplicity 6)
Th 0.0000 0.0000 0.0000 (multiplicity 3)
Fe 0.0000 0.0000 0.4132 (multiplicity 6)
N 0.0117 0.5059 0.7655 (multiplicity 18)

Summary:
Its density of states at the Fermi level is 0.6072 states/eV/atom. Its total energy is -8.498 eV per atom. The formation energy (no corrections) comes out at -0.66 eV per atom. The total moment comes out at 6.05 μB/f.u.



Computed, not measured: CeThFeN4 after structural relaxation at the PBE level of DFT.

Cell lengths 3.7364, 3.7364, 12.5899 Å; angles 90.00, 90.00, 90.00 degrees
Space group I4mm (No. 107)
One atom of each set of equivalent atoms:
Ce 0.0000 0.0000 0.0000 (multiplicity 2)
Th 0.0000 0.0000 0.2800 (multiplicity 2)
Fe 0.0000 0.0000 0.6223 (multiplicity 2)
N 0.0000 0.0000 0.4693 (multiplicity 2)
N 0.0000 0.0000 0.8217 (multiplicity 2)
N 0.0000 0.5000 0.1393 (multiplicity 4)

Summary:
Its density of states at the Fermi level is 0.3199 states/eV/atom. Its total energy is -8.901 eV per atom. The formation energy (no corrections) comes out at -1.03 eV per atom. The total moment comes out at 2.04 μB/f.u.